[1]
Compound: CsHf3Ge
Source: Alexandria
Functional: GGA-PBE
Structure: relaxed

Lattice parameters (Å, degrees): 5.231 5.231 5.231 90.00 90.00 90.00
Atoms (fractional coordinates):
Cs  0.000  0.000  0.000
Hf  0.000  0.000  0.500
Hf  0.000  0.500  0.000
Hf  0.500  0.000  0.000
Ge  0.500  0.500  0.500

ΔE_f, eV per formula unit: 11.9
Space-group type: No. 221
Spin magnetization, μB/f.u.: 0.0
Raw total energy, eV/cell: -23.40

---

[2]
Compound: TiAsSe2
Source: Alexandria
Functional: GGA-PBE
Structure: relaxed

Lattice parameters (Å, degrees): 8.772 8.772 8.772 22.63 22.63 22.63
Atoms (fractional coordinates):
Ti  0.000  0.000  0.000
As  0.500  0.500  0.500
Se  0.396  0.396  0.396
Se  0.604  0.604  0.604

Space-group type: No. 166
ΔE_f (raw), eV/atom: -0.5620
Spin magnetization, μB/f.u.: 0.0
Raw total energy, eV/cell: -21.76

---

[3]
Compound: Pm3Tm3Cd2
Source: Alexandria
Functional: GGA-PBE
Structure: relaxed

Lattice parameters (Å, degrees): 6.391 6.391 15.861 90.00 90.00 131.76
Atoms (fractional coordinates):
Pm  0.039  0.961  0.606
Pm  0.039  0.961  0.894
Pm  0.266  0.734  0.750
Pm  0.734  0.266  0.250
Pm  0.961  0.039  0.106
Pm  0.961  0.039  0.394
Tm  0.357  0.643  0.536
Tm  0.357  0.643  0.964
Tm  0.453  0.547  0.250
Tm  0.547  0.453  0.750
Tm  0.643  0.357  0.036
Tm  0.643  0.357  0.464
Cd  0.237  0.763  0.132
Cd  0.237  0.763  0.368
Cd  0.763  0.237  0.632
Cd  0.763  0.237  0.868

ΔE_f, eV per formula unit: -0.5
Space-group type: No. 63
Spin magnetization, μB/f.u.: 0.0
Raw total energy, eV/cell: -60.09

---

[4]
Compound: GdSiGe
Source: Alexandria
Functional: GGA-PBE
Structure: relaxed

Lattice parameters (Å, degrees): 5.638 5.638 5.638 144.07 144.07 51.72
Atoms (fractional coordinates):
Gd  0.000  0.000  0.000
Si  0.699  0.699  0.000
Ge  0.297  0.297  0.000

Space-group type: No. 107
ΔE_f (raw), eV/atom: -0.3601
Spin magnetization, μB/f.u.: 7.4
Raw total energy, eV/cell: -25.20

---

[5]
Compound: MnOsAu2
Source: Alexandria
Functional: GGA-PBE
Structure: relaxed

Lattice parameters (Å, degrees): 2.772 2.772 9.292 90.00 90.00 114.77
Atoms (fractional coordinates):
Mn  0.000  0.000  0.000
Os  0.500  0.500  0.211
Au  0.000  0.000  0.479
Au  0.500  0.500  0.756

ΔE_f, eV per formula unit: 1.2
Space-group type: No. 35
Spin magnetization, μB/f.u.: 3.3
Raw total energy, eV/cell: -25.74

---

[6]
Compound: HgBi2Se
Source: Alexandria
Functional: GGA-PBE
Structure: relaxed

Lattice parameters (Å, degrees): 5.348 5.348 5.348 60.00 60.00 60.00
Atoms (fractional coordinates):
Hg  0.000  0.000  0.000
Bi  0.250  0.250  0.250
Bi  0.750  0.750  0.750
Se  0.500  0.500  0.500

Space-group type: No. 225
ΔE_f (raw), eV/atom: 0.1062
Spin magnetization, μB/f.u.: 0.0
Raw total energy, eV/cell: -11.12

---

[7]
Compound: Na4Sr3Li4
Source: Alexandria
Functional: GGA-PBE
Structure: relaxed

Lattice parameters (Å, degrees): 10.168 10.168 10.168 150.76 128.47 60.35
Atoms (fractional coordinates):
Na  0.024  0.829  0.195
Na  0.366  0.171  0.195
Na  0.634  0.829  0.805
Na  0.976  0.171  0.805
Sr  0.000  0.500  0.500
Sr  0.380  0.380  0.000
Sr  0.620  0.620  0.000
Li  0.220  0.720  0.500
Li  0.327  0.000  0.327
Li  0.673  0.000  0.673
Li  0.780  0.280  0.500

ΔE_f, eV per formula unit: 0.7
Space-group type: No. 71
Spin magnetization, μB/f.u.: 0.0
Raw total energy, eV/cell: -17.32

---

[8]
Compound: La2RhBr
Source: Alexandria
Functional: GGA-PBE
Structure: relaxed

Lattice parameters (Å, degrees): 5.321 5.321 3.605 95.09 95.09 93.85
Atoms (fractional coordinates):
La  0.000  0.500  0.000
La  0.500  0.000  0.000
Rh  0.000  0.000  0.500
Br  0.500  0.500  0.500

Space-group type: No. 12
ΔE_f (raw), eV/atom: -0.7880
Spin magnetization, μB/f.u.: 0.0
Raw total energy, eV/cell: -22.03